(1)
The following is a PBE calculation of a relaxed structure of LaIn3H, from Alexandria via LeMat-Bulk.

abc: 4.832 4.832 4.832
angles: 90.00 90.00 90.00
Fractional coordinates of all 5 atoms:
1 H 0.000 0.000 0.000
2 In 0.000 0.500 0.000
3 In 0.000 0.000 0.500
4 In 0.500 0.000 0.000
5 La 0.500 0.500 0.500

Summary:
Relative energy among the computed polymorphs in meV per atom: 0
Space-group type: No. 221
DFT total energy in eV/atom: -3.466
Mass density in g/cm3: 7.13

***

(2)
The following is a PBE calculation of a relaxed structure of Dy4InAg2Au, from Alexandria via LeMat-Bulk.

abc: 5.171 5.171 8.967
angles: 73.24 73.24 60.00
Fractional coordinates of all 8 atoms:
1 Dy 0.380 0.380 0.859
2 Dy 0.871 0.871 0.388
3 Dy 0.129 0.129 0.612
4 Dy 0.620 0.620 0.141
5 In 0.000 0.000 0.000
6 Ag 0.743 0.743 0.770
7 Ag 0.257 0.257 0.230
8 Au 0.500 0.500 0.500

Summary:
Space-group type: No. 166
DFT total energy in eV/atom: -4.267
Mass density in g/cm3: 9.99
Energy of formation from the pure elements in kcal/mol of atoms: -11.56

***

(3)
The following is a PBE calculation of a relaxed structure of SmHo3Th, from Alexandria via LeMat-Bulk.

abc: 5.297 6.221 10.977
angles: 89.98 89.96 64.81
Fractional coordinates of all 10 atoms:
1 Sm 0.348 0.305 0.500
2 Sm 0.652 0.695 0.500
3 Ho 0.000 0.000 0.326
4 Ho 0.000 0.000 0.674
5 Ho 0.348 0.303 0.195
6 Ho 0.349 0.303 0.805
7 Ho 0.652 0.697 0.805
8 Ho 0.651 0.697 0.195
9 Th 0.135 0.730 0.000
10 Th 0.865 0.270 0.000

Summary:
Relative energy among the computed polymorphs in meV per atom: 0
Space-group type: No. 12
DFT total energy in eV/atom: -4.990
Mass density in g/cm3: 8.90
Energy of formation from the pure elements in kcal/mol of atoms: 4.26

***

(4)
The following is a PBE calculation of a relaxed structure of Tc2C, from Alexandria via LeMat-Bulk.

abc: 2.835 2.835 10.047
angles: 90.00 90.00 120.00
Fractional coordinates of all 6 atoms:
1 Tc 0.667 0.333 0.388
2 Tc 0.333 0.667 0.888
3 Tc 0.333 0.667 0.612
4 Tc 0.667 0.333 0.112
5 C 0.000 0.000 0.250
6 C 0.000 0.000 0.750

Summary:
Relative energy among the computed polymorphs in meV per atom: 77
Space-group type: No. 194
DFT total energy in eV/atom: -9.834
Mass density in g/cm3: 9.88
Energy of formation from the pure elements in kcal/mol of atoms: 3.49

***

(5)
The following is a PBE calculation of a relaxed structure of Er3Sc2Pt2, from Alexandria via LeMat-Bulk.

abc: 3.634 6.231 8.751
angles: 114.63 90.00 106.95
Fractional coordinates of all 7 atoms:
1 Er 0.500 0.000 0.000
2 Er 0.612 0.225 0.435
3 Er 0.388 0.775 0.565
4 Sc 0.834 0.667 0.179
5 Sc 0.166 0.333 0.821
6 Pt 0.817 0.634 0.767
7 Pt 0.183 0.366 0.233

Summary:
Space-group type: No. 12
DFT total energy in eV/atom: -6.269
Mass density in g/cm3: 9.56
Energy of formation from the pure elements in kcal/mol of atoms: -17.95

***

(6)
The following is a PBE calculation of a relaxed structure of K3CuF4, from Alexandria via LeMat-Bulk.

abc: 5.415 5.413 9.969
angles: 90.00 90.00 90.00
Fractional coordinates of all 16 atoms:
1 K 0.564 0.761 0.000
2 K 0.055 0.745 0.250
3 K 0.555 0.255 0.250
4 K 0.064 0.239 0.500
5 K 0.555 0.255 0.750
6 K 0.055 0.745 0.750
7 Cu 0.040 0.229 0.000
8 Cu 0.540 0.771 0.500
9 F 0.070 0.798 0.000
10 F 0.608 0.265 0.000
11 F 0.061 0.250 0.201
12 F 0.561 0.750 0.299
13 F 0.108 0.735 0.500
14 F 0.570 0.202 0.500
15 F 0.561 0.750 0.701
16 F 0.061 0.250 0.799

Summary:
Raw formation energy in eV/atom: -2.234
Space-group type: No. 31
DFT total energy in eV/atom: -4.093
Mass density in g/cm3: 2.92

***

(7)
The following is a PBE calculation of a relaxed structure of RbLi2SiAg, from Alexandria via LeMat-Bulk.

abc: 5.122 5.122 4.948
angles: 90.00 90.00 90.00
Fractional coordinates of all 5 atoms:
1 Si 0.000 0.000 0.000
2 Rb 0.500 0.500 0.500
3 Ag 0.000 0.000 0.500
4 Li 0.000 0.500 0.000
5 Li 0.500 0.000 0.000

Summary:
Raw formation energy in eV/atom: -0.050
Space-group type: No. 123
DFT total energy in eV/atom: -2.664
Mass density in g/cm3: 3.01

***

(8)
The following is a PBE calculation of a relaxed structure of SbRuN2O, from Alexandria via LeMat-Bulk.

abc: 4.047 4.047 3.911
angles: 90.00 90.00 90.00
Each line ends with the local moment (μB).
Fractional coordinates of all 5 atoms:
1 Sb 0.000 0.000 0.000  -0.01
2 N 0.000 0.500 0.000  0.13
3 N 0.500 0.000 0.000  0.13
4 O 0.000 0.000 0.500  0.18
5 Ru 0.500 0.500 0.500  2.85

Summary:
Raw formation energy in eV/atom: 1.197
Space-group type: No. 123
DFT total energy in eV/atom: -5.804
Mass density in g/cm3: 6.92

***

(9)
The following is a PBE calculation of a relaxed structure of Ca2AcCd, from Alexandria via LeMat-Bulk.

abc: 5.621 5.621 10.345
angles: 105.76 105.76 90.01
Fractional coordinates of all 8 atoms:
1 Ca 0.850 0.850 0.200
2 Ca 0.150 0.150 0.800
3 Ca 0.500 0.000 0.500
4 Ca 0.000 0.500 0.500
5 Ac 0.351 0.351 0.202
6 Ac 0.649 0.649 0.798
7 Cd 0.250 0.750 0.000
8 Cd 0.750 0.250 0.000

Summary:
Relative energy among the computed polymorphs in meV per atom: 0
Space-group type: No. 12
DFT total energy in eV/atom: -2.413
Mass density in g/cm3: 4.62
Energy of formation from the pure elements in kcal/mol of atoms: -3.60

***

(10)
The following is a PBE calculation of a relaxed structure of SiCNF2, from Alexandria via LeMat-Bulk.

abc: 3.595 3.595 3.586
angles: 90.00 90.00 90.00
Each line ends with the local moment (μB).
Fractional coordinates of all 5 atoms:
1 Si 0.000 0.000 0.000  0.00
2 N 0.000 0.000 0.500  -0.08
3 C 0.500 0.500 0.500  0.58
4 F 0.000 0.500 0.000  0.03
5 F 0.500 0.000 0.000  0.03

Summary:
Raw formation energy in eV/atom: 0.232
Relative energy among the computed polymorphs in meV per atom: 349
Space-group type: No. 123
DFT total energy in eV/atom: -5.111
Mass density in g/cm3: 3.30

***

(11)
The following is a PBE calculation of a relaxed structure of AlCr2Ag, from Alexandria via LeMat-Bulk.

abc: 2.592 2.592 8.265
angles: 90.00 90.00 90.31
Fractional coordinates of all 4 atoms:
1 Cr 0.000 0.000 0.983
2 Cr 0.000 0.000 0.517
3 Al 0.500 0.500 0.750
4 Ag 0.500 0.500 0.250

Summary:
Space-group type: No. 65
DFT total energy in eV/atom: -6.116
Mass density in g/cm3: 7.14
Energy of formation from the pure elements in kcal/mol of atoms: 7.93

***

(12)
The following is a PBE calculation of a relaxed structure of AcPmScBi, from Alexandria via LeMat-Bulk.

abc: 5.566 5.566 5.566
angles: 60.00 60.00 60.00
Fractional coordinates of all 4 atoms:
1 Sc 0.250 0.250 0.250
2 Ac 0.000 0.000 0.000
3 Bi 0.500 0.500 0.500
4 Pm 0.750 0.750 0.750

Summary:
Space-group type: No. 216
DFT total energy in eV/atom: -4.901
Mass density in g/cm3: 8.53
Energy of formation from the pure elements in kcal/mol of atoms: -3.08